[1]
DFT (PBE) results for La12HoTm2 after structural relaxation.

- Formation energy from the elements: 0.3100 eV per atom
- Space group: No. 125
- N(E_F): 1.249 states/eV/atom

The structure in POSCAR format:
```
La12HoTm2
1.0
6.596 0.000 0.000
0.000 6.596 0.000
0.000 0.000 26.022
La Ho Tm
24 2 4
Direct
0.668 0.168 0.438 La
0.000 0.000 0.785 La
0.332 0.832 0.438 La
0.678 0.822 0.887 La
0.178 0.322 0.113 La
0.822 0.322 0.887 La
0.000 0.000 0.336 La
0.000 0.000 0.664 La
0.822 0.678 0.113 La
0.322 0.178 0.887 La
0.500 0.500 0.664 La
0.168 0.668 0.562 La
0.178 0.678 0.887 La
0.500 0.500 0.336 La
0.168 0.332 0.438 La
0.332 0.168 0.562 La
0.000 0.000 0.215 La
0.500 0.500 0.215 La
0.322 0.822 0.113 La
0.832 0.668 0.438 La
0.832 0.332 0.562 La
0.500 0.500 0.785 La
0.678 0.178 0.113 La
0.668 0.832 0.562 La
0.500 0.000 0.000 Ho
0.000 0.500 0.000 Ho
0.500 0.000 0.726 Tm
0.500 0.000 0.274 Tm
0.000 0.500 0.274 Tm
0.000 0.500 0.726 Tm
```


[2]
DFT (PBE) results for Rb2SrP2O6 after structural relaxation.

- Formation energy without anion corrections: -2.43 eV/atom
- Space group: No. 12
- N(E_F): 0.000 states/eV/atom

The structure in POSCAR format:
```
Rb2SrP2O6
1.0
6.054 0.000 0.000
-3.027 5.276 -0.280
0.000 -3.373 6.173
O P Sr Rb
6 2 1 2
Direct
0.217 0.010 0.761 O
0.779 0.557 0.710 O
0.221 0.443 0.290 O
0.793 0.010 0.761 O
0.207 0.990 0.239 O
0.783 0.990 0.239 O
0.051 0.102 0.183 P
0.949 0.898 0.817 P
0.500 0.000 0.500 Sr
0.720 0.440 0.188 Rb
0.280 0.560 0.812 Rb
```


[3]
DFT (PBE) results for In6AgI12 after structural relaxation.

- Formation energy without anion corrections: -0.38 eV/atom
- Space group: No. 2
- N(E_F): 0.303 states/eV/atom

The structure in POSCAR format:
```
In6AgI12
1.0
-6.127 6.152 -7.481
11.936 -2.450 -2.135
-6.690 -9.545 3.610
Ag In I
1 6 12
Direct
0.000 0.000 0.000 Ag
0.077 0.182 0.294 In
0.486 0.769 0.556 In
0.969 0.770 0.016 In
0.514 0.231 0.444 In
0.923 0.818 0.706 In
0.031 0.230 0.984 In
0.116 0.525 0.280 I
0.522 0.380 0.326 I
0.144 0.869 0.638 I
0.884 0.475 0.720 I
0.288 0.157 0.509 I
0.478 0.620 0.674 I
0.343 0.891 0.197 I
0.233 0.446 0.955 I
0.856 0.131 0.362 I
0.712 0.843 0.491 I
0.657 0.109 0.803 I
0.767 0.554 0.045 I
```


[4]
DFT (PBE) results for Ac2Sm7Er3 after structural relaxation.

- Formation energy from the elements: 0.0936 eV per atom
- Space group: No. 10
- N(E_F): 1.487 states/eV/atom

The structure in POSCAR format:
```
Ac2Sm7Er3
1.0
-3.059 1.952 -0.215
-1.816 -3.419 -5.203
-8.197 -11.681 10.546
Sm Er Ac
7 3 2
Direct
0.000 0.678 0.840 Sm
0.000 0.322 0.160 Sm
0.000 0.000 0.000 Sm
0.500 0.831 0.164 Sm
0.500 0.169 0.836 Sm
0.500 0.237 0.502 Sm
0.500 0.763 0.498 Sm
0.000 0.997 0.341 Er
0.000 0.003 0.659 Er
0.500 0.500 0.000 Er
0.500 0.489 0.327 Ac
0.500 0.511 0.673 Ac
```


[5]
DFT (PBE) results for Ti2ZnOs after structural relaxation.

- Formation energy from the elements: 0.4472 eV per atom
- Space group: No. 71
- N(E_F): 1.216 states/eV/atom

The structure in POSCAR format:
```
Ti2ZnOs
1.0
4.805 -1.672 -2.711
-1.520 4.855 2.711
-3.405 0.227 4.646
Ti Os Zn
2 1 1
Direct
0.000 0.257 0.257 Ti
0.000 0.743 0.743 Ti
0.000 0.500 0.500 Os
0.000 0.000 0.000 Zn
```


[6]
DFT (PBE) results for SrIn3Au3 after structural relaxation.

- Formation energy from the elements: -0.3638 eV per atom
- Space group: No. 148
- N(E_F): 0.260 states/eV/atom

The structure in POSCAR format:
```
SrIn3Au3
1.0
8.832 0.000 0.000
4.416 7.649 0.000
4.416 2.550 5.472
Au In Sr
6 6 2
Direct
0.657 0.948 0.149 Au
0.246 0.657 0.149 Au
0.343 0.052 0.851 Au
0.754 0.343 0.851 Au
0.052 0.754 0.851 Au
0.948 0.246 0.149 Au
0.129 0.428 0.638 In
0.805 0.129 0.638 In
0.572 0.195 0.362 In
0.871 0.572 0.362 In
0.428 0.805 0.638 In
0.195 0.871 0.362 In
0.326 0.326 0.022 Sr
0.674 0.674 0.978 Sr
```


[7]
DFT (PBE) results for Cs5K2Ge4 after structural relaxation.

- Formation energy from the elements: 0.0352 eV per atom
- Space group: No. 12
- N(E_F): 0.865 states/eV/atom

The structure in POSCAR format:
```
Cs5K2Ge4
1.0
-7.589 1.243 1.517
-3.370 -4.469 7.055
-1.269 5.298 9.561
Cs K Ge
5 2 4
Direct
0.356 0.712 0.084 Cs
0.152 0.288 0.916 Cs
0.000 0.500 0.500 Cs
0.848 0.712 0.084 Cs
0.644 0.288 0.916 Cs
0.748 0.107 0.398 K
0.252 0.893 0.602 K
0.388 0.983 0.241 Ge
0.759 0.735 0.747 Ge
0.612 0.017 0.759 Ge
0.241 0.265 0.253 Ge
```


[8]
DFT (PBE) results for Tb3CePb2C after structural relaxation.

- Formation energy from the elements: -0.4512 eV per atom
- Space group: No. 71
- N(E_F): 0.909 states/eV/atom

The structure in POSCAR format:
```
Tb3CePb2C
1.0
4.826 0.000 0.000
0.000 4.910 0.000
-2.413 -2.455 8.125
Ce Tb C Pb
1 3 1 2
Direct
0.500 0.000 0.000 Ce
0.841 0.841 0.681 Tb
0.000 0.500 0.000 Tb
0.159 0.159 0.319 Tb
0.000 0.000 0.000 C
0.643 0.643 0.286 Pb
0.357 0.357 0.714 Pb
```


[9]
DFT (PBE) results for BiIr2Os2 after structural relaxation.

- Formation energy from the elements: 0.5883 eV per atom
- Space group: No. 139
- N(E_F): 1.389 states/eV/atom

The structure in POSCAR format:
```
BiIr2Os2
1.0
3.705 0.000 0.000
0.000 3.705 0.000
1.852 1.852 6.546
Os Ir Bi
2 2 1
Direct
0.250 0.750 0.500 Os
0.750 0.250 0.500 Os
0.395 0.395 0.211 Ir
0.605 0.605 0.789 Ir
0.000 0.000 0.000 Bi
```


[10]
DFT (PBE) results for Er4Ge2Bi after structural relaxation.

- Formation energy from the elements: -0.6192 eV per atom
- Space group: No. 141
- N(E_F): 0.715 states/eV/atom

The structure in POSCAR format:
```
Er4Ge2Bi
1.0
8.036 -1.029 -0.162
-1.605 7.941 0.161
-3.097 -3.565 6.584
Er Ge Bi
8 4 2
Direct
0.842 0.661 0.181 Er
0.339 0.158 0.819 Er
0.408 0.089 0.319 Er
0.911 0.592 0.681 Er
0.339 0.519 0.180 Er
0.911 0.231 0.319 Er
0.769 0.089 0.681 Er
0.481 0.661 0.819 Er
0.625 0.375 0.250 Ge
0.625 0.375 0.750 Ge
0.125 0.375 0.750 Ge
0.625 0.875 0.250 Ge
0.000 0.000 0.000 Bi
0.250 0.750 0.500 Bi
```


[11]
DFT (PBE) results for SrLi3Au3 after structural relaxation.

- Formation energy from the elements: -0.4658 eV per atom
- Space group: No. 148
- N(E_F): 0.284 states/eV/atom

The structure in POSCAR format:
```
SrLi3Au3
1.0
7.016 0.000 0.000
3.508 6.076 0.000
3.508 2.025 7.056
Li Au Sr
6 6 2
Direct
0.737 0.092 0.604 Li
0.433 0.263 0.396 Li
0.908 0.433 0.396 Li
0.567 0.737 0.604 Li
0.263 0.908 0.396 Li
0.092 0.567 0.604 Li
0.689 0.925 0.228 Au
0.075 0.841 0.772 Au
0.925 0.159 0.228 Au
0.841 0.311 0.772 Au
0.159 0.689 0.228 Au
0.311 0.075 0.772 Au
0.661 0.661 0.016 Sr
0.339 0.339 0.984 Sr
```


[12]
DFT (PBE) results for Cd5PdAu6 after structural relaxation.

- Formation energy from the elements: -0.1815 eV per atom
- Space group: No. 12
- N(E_F): 0.308 states/eV/atom

The structure in POSCAR format:
```
Cd5PdAu6
1.0
4.069 -0.011 -1.146
-2.929 6.952 -2.601
0.031 0.022 7.980
Cd Au Pd
5 6 1
Direct
0.500 0.845 0.155 Cd
0.500 0.155 0.845 Cd
0.000 0.672 0.328 Cd
0.000 0.328 0.672 Cd
0.500 0.500 0.500 Cd
0.750 0.914 0.584 Au
0.246 0.746 0.746 Au
0.750 0.584 0.914 Au
0.754 0.254 0.254 Au
0.250 0.416 0.086 Au
0.250 0.086 0.416 Au
0.000 0.000 0.000 Pd
```


[13]
DFT (PBE) results for SmGdBeGa after structural relaxation.

- Formation energy from the elements: -0.2024 eV per atom
- Space group: No. 216
- N(E_F): 0.965 states/eV/atom

The structure in POSCAR format:
```
SmGdBeGa
1.0
-3.487 -1.398 3.353
1.152 -3.341 3.586
0.381 1.485 4.796
Sm Ga Be Gd
1 1 1 1
Direct
0.500 0.500 0.500 Sm
0.250 0.250 0.250 Ga
0.750 0.750 0.750 Be
0.000 0.000 0.000 Gd
```


[14]
DFT (PBE) results for MoPb2Br after structural relaxation.

- Formation energy without anion corrections: 0.51 eV/atom
- Space group: No. 65
- N(E_F): 0.697 states/eV/atom

The structure in POSCAR format:
```
MoPb2Br
1.0
-2.521 -2.325 4.339
4.447 -3.170 0.871
1.256 2.301 1.963
Pb Br Mo
2 1 1
Direct
0.000 0.000 0.000 Pb
0.500 0.500 0.000 Pb
0.500 0.000 0.500 Br
0.000 0.500 0.500 Mo
```


[15]
DFT (PBE) results for Pa2FeRu after structural relaxation.

- Formation energy from the elements: -0.1299 eV per atom
- Space group: No. 225
- N(E_F): 1.609 states/eV/atom

The structure in POSCAR format:
```
Pa2FeRu
1.0
-1.257 4.266 -1.748
0.254 0.825 -4.700
-4.005 0.443 -2.568
Ru Pa Fe
1 2 1
Direct
0.500 0.500 0.500 Ru
0.750 0.750 0.750 Pa
0.250 0.250 0.250 Pa
0.000 0.000 0.000 Fe
```


[16]
DFT (PBE) results for ZnGeSbI2 after structural relaxation.

- Formation energy without anion corrections: 0.48 eV/atom
- Space group: No. 123
- N(E_F): 0.650 states/eV/atom

The structure in POSCAR format:
```
ZnGeSbI2
1.0
-2.186 -3.100 -3.909
4.942 -0.763 -2.159
0.676 -4.383 3.097
Sb I Zn Ge
1 2 1 1
Direct
0.000 0.000 0.500 Sb
0.500 0.000 0.000 I
0.000 0.500 0.000 I
0.000 0.000 0.000 Zn
0.500 0.500 0.500 Ge
```


[17]
DFT (PBE) results for SrSb2Pb after structural relaxation.

- Formation energy without anion corrections: -0.29 eV/atom
- Space group: No. 99
- N(E_F): 0.714 states/eV/atom

The structure in POSCAR format:
```
SrSb2Pb
1.0
-3.265 -2.094 2.062
2.936 -2.463 2.148
0.202 4.543 4.933
Pb Sb Sr
1 2 1
Direct
0.500 0.500 0.797 Pb
0.500 0.500 0.273 Sb
0.000 0.000 0.966 Sb
0.000 0.000 0.464 Sr
```


[18]
DFT (PBE) results for Al2TlFePt after structural relaxation.

- Formation energy from the elements: 0.4720 eV per atom
- Space group: No. 123
- N(E_F): 0.592 states/eV/atom

The structure in POSCAR format:
```
Al2TlFePt
1.0
4.753 0.000 0.000
0.000 5.308 0.000
0.000 0.000 4.753
Tl Al Pt Fe
1 2 1 1
Direct
0.000 0.500 0.000 Tl
0.500 0.000 0.000 Al
0.000 0.000 0.500 Al
0.000 0.000 0.000 Pt
0.500 0.500 0.500 Fe
```


[19]
DFT (PBE) results for Pu4NpRu3 after structural relaxation.

- Formation energy from the elements: 0.0004 eV per atom
- Space group: No. 12
- N(E_F): 3.289 states/eV/atom

The structure in POSCAR format:
```
Pu4NpRu3
1.0
-2.524 3.874 0.723
-1.136 -1.569 4.441
7.459 2.213 -0.960
Np Ru Pu
1 3 4
Direct
0.500 0.000 0.000 Np
0.000 0.500 0.000 Ru
0.749 0.227 0.497 Ru
0.251 0.773 0.503 Ru
0.126 0.127 0.252 Pu
0.626 0.599 0.253 Pu
0.374 0.401 0.747 Pu
0.874 0.873 0.748 Pu
```


[20]
DFT (PBE) results for AcHgAs after structural relaxation.

- Formation energy from the elements: -0.7762 eV per atom
- Space group: No. 156

The structure in POSCAR format:
```
AcHgAs
1.0
-3.747 -1.298 -2.973
2.942 -2.320 -2.695
-2.065 -2.133 3.533
As Hg Ac
1 1 1
Direct
0.024 0.000 0.000 As
0.288 0.333 0.667 Hg
0.688 0.667 0.333 Ac
```


no.,calculated density (kg/m3),V (Å³ per cell)
1,6364,1132.22
2,3612,191.46
3,3944,976.71
4,7971,418.35
5,8953,65.17
6,9192,369.62
7,2854,601.17
8,8998,192.55
9,17997,89.86
10,8299,409.50
11,7721,300.83
12,13594,226.02
13,7107,90.27
14,9785,100.17
15,13323,77.15
16,5315,160.47
17,6904,129.48
18,7053,119.91
19,16591,151.76
20,9129,91.41